(1)
Below is a relaxed structure of Pm2Zn3Ga4Au, with properties calculated at the GGA-PBE level.

Output
- E: -33.82 eV/cell

```
Pm2Zn3Ga4Au
1.0
-3.7849 -1.4985 -1.2895
1.4730 -3.9953 0.3194
-3.2905 -0.4037 10.1270
Pm Ga Zn Au
2 4 3 1
Direct
0.5000 0.0000 0.2475
0.0000 0.5000 0.7525
0.5000 0.5000 0.0000
0.0000 0.0000 0.0000
0.0000 0.5000 0.3619
0.5000 0.0000 0.6381
0.0000 0.5000 0.1340
0.0000 0.0000 0.5000
0.5000 0.0000 0.8660
0.5000 0.5000 0.5000
```

***

(2)
Below is a relaxed structure of PmZn2GaAu5, with properties calculated at the GGA-PBE level.

Output
- E: -28.64 eV/cell

```
PmZn2GaAu5
1.0
4.7762 0.0000 0.0000
0.0000 5.9105 0.0000
-2.3881 -2.9553 6.8360
Au Ga Zn Pm
5 1 2 1
Direct
0.6529 0.4159 0.3058
0.6529 0.8899 0.3058
0.0000 0.0000 0.0000
0.3471 0.1101 0.6942
0.3471 0.5841 0.6942
0.5000 0.0000 0.0000
0.1883 0.1883 0.3765
0.8117 0.8117 0.6235
0.0000 0.5000 0.0000
```

***

(3)
Below is a relaxed structure of PmZnGa2Au5, with properties calculated at the GGA-PBE level.

Output
- E: -30.83 eV/cell

```
PmZnGa2Au5
1.0
-0.5632 4.4979 -1.9731
-3.8269 0.8431 3.0142
4.7496 2.8859 5.2229
Ga Au Pm Zn
2 5 1 1
Direct
0.5000 0.5000 0.1583
0.5000 0.5000 0.8417
0.0000 0.5000 0.2514
0.5000 0.0000 0.2514
0.5000 0.0000 0.7486
0.0000 0.5000 0.7486
0.5000 0.5000 0.5000
0.0000 0.0000 0.5000
0.0000 0.0000 0.0000
```

***

(4)
Below is a relaxed structure of Pm2ZnGa6Au, with properties calculated at the GGA-PBE level.

Output
- E: -69.90 eV/cell

```
Pm2ZnGa6Au
1.0
6.1021 0.0000 0.0000
3.0511 5.2846 0.0000
3.0511 1.7615 13.6331
Ga Au Pm Zn
12 2 4 2
Direct
0.7884 0.2783 0.1449
0.9281 0.3375 0.3970
0.7217 0.2116 0.8551
0.7884 0.7884 0.1449
0.2783 0.7884 0.1449
0.3375 0.3375 0.3970
0.2116 0.2116 0.8551
0.6626 0.6626 0.6030
0.6626 0.0719 0.6030
0.0719 0.6626 0.6030
0.3375 0.9281 0.3970
0.2116 0.7217 0.8551
0.5716 0.5716 0.2853
0.4284 0.4284 0.7147
0.8799 0.8799 0.3604
0.3153 0.3153 0.0542
0.1201 0.1201 0.6396
0.6847 0.6847 0.9458
0.5000 0.5000 0.5000
0.0000 0.0000 0.0000
```

***

(5)
Below is a relaxed structure of Pr5Ga2Au, with properties calculated at the GGA-PBE level.

Output
- E: -74.14 eV/cell

```
Pr5Ga2Au
1.0
0.8842 -3.5946 -6.7911
7.5426 1.7104 0.0768
-2.7419 -5.7141 7.0720
Ga Pr Au
4 10 2
Direct
0.3828 0.8828 0.0000
0.8828 0.6172 0.0000
0.1172 0.3828 0.0000
0.6172 0.1172 0.0000
0.8216 0.9737 0.2953
0.9737 0.4737 0.2953
0.0000 0.0000 0.0000
0.5000 0.5000 0.0000
0.4737 0.3216 0.2953
0.6784 0.1784 0.7047
0.1784 0.0263 0.7047
0.5263 0.6784 0.7047
0.0263 0.5263 0.7047
0.3216 0.8216 0.2953
0.7500 0.7500 0.5000
0.2500 0.2500 0.5000
```

***

(6)
Below is a relaxed structure of Pr3GaAu3, with properties calculated at the GGA-PBE level.

Output
- E: -64.70 eV/cell

```
Pr3GaAu3
1.0
-1.8455 -2.7506 -2.8462
1.3284 -5.6656 1.2634
-12.7358 -2.5628 7.3840
Pr Ga Au
6 2 6
Direct
0.7471 0.7398 0.7660
0.4002 0.2799 0.9196
0.5998 0.7201 0.0804
0.4680 0.6736 0.3903
0.5320 0.3264 0.6097
0.2529 0.2602 0.2340
0.7616 0.0856 0.3912
0.2384 0.9144 0.6088
0.8785 0.1656 0.0774
0.0276 0.1791 0.7657
0.1387 0.2674 0.4551
0.1215 0.8344 0.9226
0.8613 0.7326 0.5449
0.9724 0.8209 0.2343
```

***

(7)
Below is a relaxed structure of PrGa3Au3, with properties calculated at the GGA-PBE level.

Output
- Energy above the most stable polymorph in this dataset: 1.46 eV per formula unit

```
PrGa3Au3
1.0
-3.0997 -4.8231 -4.0526
2.4834 -5.0864 4.1539
-5.7895 0.4005 3.9516
Au Ga Pr
6 6 2
Direct
0.7500 0.0000 0.5000
0.5000 0.7500 0.0000
0.0000 0.5000 0.2500
0.2500 0.0000 0.5000
0.5000 0.2500 0.0000
0.0000 0.5000 0.7500
0.5000 0.0000 0.7500
0.0000 0.7500 0.5000
0.5000 0.0000 0.2500
0.7500 0.5000 0.0000
0.2500 0.5000 0.0000
0.0000 0.2500 0.5000
0.5000 0.5000 0.5000
0.0000 0.0000 0.0000
```

***

(8)
Below is a relaxed structure of Pr2GaAu3, with properties calculated at the GGA-PBE level.

Output
- Energy above the most stable polymorph in this dataset: 0.46 eV per formula unit

```
Pr2GaAu3
1.0
-0.6816 -3.4161 -2.0950
3.0125 -1.9902 2.2652
-7.0442 0.3496 5.6652
Au Pr Ga
3 2 1
Direct
0.5377 0.5377 0.0753
0.3070 0.8070 0.6140
0.6992 0.6992 0.3984
0.1231 0.1231 0.2462
0.8738 0.3738 0.7476
0.4593 0.9593 0.9187
```

***

(9)
Below is a relaxed structure of PrGa6Au12, with properties calculated at the GGA-PBE level.

Output
- E: -66.40 eV/cell

```
PrGa6Au12
1.0
7.5530 -0.0803 -0.1131
-1.9501 7.2973 -0.1131
-1.9501 -2.5119 6.8523
Ga Au Pr
6 12 1
Direct
0.3039 0.7226 0.7226
0.2774 0.2774 0.6961
0.7226 0.7226 0.3039
0.7226 0.3039 0.7226
0.6961 0.2774 0.2774
0.2774 0.6961 0.2774
0.3811 0.1363 0.3811
0.3811 0.3811 0.1363
0.1188 0.5000 0.8812
0.1188 0.8812 0.5000
0.8812 0.5000 0.1188
0.8812 0.1188 0.5000
0.6189 0.8637 0.6189
0.1363 0.3811 0.3811
0.6189 0.6189 0.8637
0.5000 0.1188 0.8812
0.8637 0.6189 0.6189
0.5000 0.8812 0.1188
0.0000 0.0000 0.0000
```

***

(10)
Below is a relaxed structure of PrGa3Au, with properties calculated at the GGA-PBE level.

Output
- Energy above the most stable polymorph in this dataset: 0.02 eV per formula unit

```
PrGa3Au
1.0
6.1026 0.0000 1.4967
0.0000 6.1401 0.0000
1.9468 0.0000 5.9740
Ga Pr Au
6 2 2
Direct
0.2375 0.0002 0.2628
0.7625 0.9998 0.7372
0.7625 0.5002 0.7372
0.8570 0.2500 0.3567
0.2375 0.4998 0.2628
0.1430 0.7500 0.6433
0.2524 0.2500 0.7519
0.7476 0.7500 0.2481
0.6275 0.2500 0.1264
0.3725 0.7500 0.8736
```

***

(11)
Below is a relaxed structure of PrGa3Au4, with properties calculated at the GGA-PBE level.

Output
- E: -30.55 eV/cell

```
PrGa3Au4
1.0
4.4587 0.0001 0.0000
0.0001 4.4587 0.0000
0.0000 0.0000 8.1875
Au Pr Ga
4 1 3
Direct
0.5000 0.0000 0.8159
0.5000 0.0000 0.1841
0.0000 0.5000 0.8159
0.0000 0.5000 0.1841
0.0000 0.0000 0.5000
0.0000 0.0000 0.0000
0.5000 0.5000 0.6510
0.5000 0.5000 0.3490
```

***

(12)
Below is a relaxed structure of Pr2GaAu, with properties calculated at the GGA-PBE level.

Output
- E: -36.80 eV/cell

```
Pr2GaAu
1.0
-3.7681 1.2794 2.2778
-3.3350 -4.0180 -3.2602
2.9634 -3.5043 6.8707
Au Ga Pr
2 2 4
Direct
0.2500 0.3590 0.2096
0.7500 0.6410 0.7904
0.2500 0.3269 0.7060
0.7500 0.6731 0.2940
0.7500 0.2148 0.9333
0.2500 0.7852 0.0667
0.2500 0.7788 0.5811
0.7500 0.2212 0.4189
```